# 1
This record from the Alexandria database describes an optimized crystal structure of BaTaNi2H. The functional is PBE.

a b c (Å): 4.9115 4.9115 3.9771
angles (deg): 90.00 90.00 90.00
Closest atoms and distances in Å follow each position.
Space group P4/mmm (No. 123)
Inequivalent atoms, fractional coordinates:
Ba (0.0000, 0.0000, 0.0000) [1 per cell]  8 Ni 3.16, 4 H 3.47
Ta (0.5000, 0.5000, 0.5000) [1 per cell]  2 H 1.99
Ni (0.0000, 0.5000, 0.5000) [2 per cell]  2 Ta 2.46
H (0.5000, 0.5000, 0.0000) [1 per cell]  2 Ta 1.99

* energy: -26.54 eV/cell
* DOS(E_F): 3.35 states/eV/cell

=====

# 2
This record from the Alexandria database describes an optimized crystal structure of BaTbNi2H8. The functional is PBE.

a b c (Å): 4.8799 4.8799 19.8418
angles (deg): 90.00 90.00 120.00
Closest atoms and distances in Å follow each position.
Space group R-3 (No. 148, hexagonal axes)
Inequivalent atoms, fractional coordinates:
Ba (0.0000, 0.0000, 0.0000) [3 per cell]  12 H 2.62-2.89
Tb (0.0000, 0.0000, 0.5000) [3 per cell]  6 H 2.27
Ni (0.0000, 0.0000, 0.2239) [6 per cell]  4 H 1.51-1.57
H (0.0000, 0.0000, 0.2999) [6 per cell]  1 Ni 1.51
H (0.0214, 0.6029, 0.5548) [18 per cell]  1 Ni 1.57

* energy: -141.40 eV/cell
* DOS(E_F): 9.86 states/eV/cell

=====

# 3
This record from the Alexandria database describes an optimized crystal structure of BaTc2NiH. The functional is PBE.

a b c (Å): 4.4892 4.4892 6.5003
angles (deg): 90.00 90.00 90.00
Closest atoms and distances in Å follow each position.
Space group P4/mmm (No. 123)
Inequivalent atoms, fractional coordinates:
Ba (0.0000, 0.0000, 0.0000) [1 per cell]  4 H 3.17, 2 Ni 3.25
Tc (0.0000, 0.5000, 0.5000) [2 per cell]  2 Ni 2.24
Ni (0.0000, 0.0000, 0.5000) [1 per cell]  4 Tc 2.24
H (0.5000, 0.5000, 0.0000) [1 per cell]  4 Ba 3.17

* energy: -24.93 eV/cell
* DOS(E_F): 6.71 states/eV/cell

=====

# 4
This record from the Alexandria database describes an optimized crystal structure of Ba2TlNiH. The functional is PBE.

a b c (Å): 5.9478 5.9478 3.7697
angles (deg): 90.00 90.00 90.00
Closest atoms and distances in Å follow each position.
Space group P4/mmm (No. 123)
Inequivalent atoms, fractional coordinates:
Ba (0.0000, 0.5000, 0.0000) [2 per cell]  2 H 2.97
Tl (0.0000, 0.0000, 0.5000) [1 per cell]  8 Ba 3.52, 2 Tl 3.77
Ni (0.5000, 0.5000, 0.5000) [1 per cell]  2 H 1.88
H (0.5000, 0.5000, 0.0000) [1 per cell]  2 Ni 1.88

* energy: -16.00 eV/cell
* DOS(E_F): 3.60 states/eV/cell

=====

# 5
This record from the Alexandria database describes an optimized crystal structure of BaTlNiH4. The functional is PBE.

a b c (Å): 5.2649 14.8181 5.2612
angles (deg): 90.00 90.00 90.00
Closest atoms and distances in Å follow each position.
Space group Cmcm (No. 63)
Inequivalent atoms, fractional coordinates:
Ba (0.0000, 0.1187, 0.2500) [4 per cell]  8 H 2.65-2.69
Tl (0.0000, 0.3803, 0.2500) [4 per cell]  8 H 2.65-2.68
Ni (0.0000, 0.2500, 0.7500) [4 per cell]  2 H 1.60-1.63
H (0.0000, 0.1402, 0.7500) [4 per cell]  1 Ni 1.63
H (0.0000, 0.3576, 0.7500) [4 per cell]  1 Ni 1.60
H (0.2500, 0.2500, 0.0000) [8 per cell]  2 Ni 1.86

* energy: -98.03 eV/cell
* DOS(E_F): 12.86 states/eV/cell

=====

# 6
This record from the Alexandria database describes an optimized crystal structure of BaTlNiH6. The functional is PBE.

a b c (Å): 9.3474 5.3891 4.6951
angles (deg): 90.00 90.45 90.00
Closest atoms and distances in Å follow each position.
Space group Cm (No. 8)
Inequivalent atoms, fractional coordinates:
Ba (0.0000, 0.0000, 0.0000) [2 per cell]  12 H 2.77-3.00
Tl (0.3326, 0.0000, 0.4783) [2 per cell]  9 H 2.66-2.72
Ni (0.1654, 0.5000, 0.6895) [2 per cell]  6 H 1.54-1.59
H (0.0333, 0.5000, 0.8837) [2 per cell]  1 Ni 1.54
H (0.0929, 0.2841, 0.5089) [4 per cell]  1 Ni 1.59
H (0.2326, 0.3012, 0.8837) [4 per cell]  1 Ni 1.54
H (0.3084, 0.5000, 0.5086) [2 per cell]  1 Ni 1.59

* energy: -62.42 eV/cell
* DOS(E_F): 5.23 states/eV/cell

=====

# 7
This record from the Alexandria database describes an optimized crystal structure of BaTlNi2H8. The functional is PBE.

a b c (Å): 4.6639 4.6639 7.1922
angles (deg): 90.00 90.00 120.00
Closest atoms and distances in Å follow each position.
Space group P-3 (No. 147)
Inequivalent atoms, fractional coordinates:
Ba (0.0000, 0.0000, 0.0000) [1 per cell]  12 H 2.75-2.79
Tl (0.0000, 0.0000, 0.5000) [1 per cell]  6 H 2.20
Ni (0.3333, 0.6667, 0.6859) [2 per cell]  4 H 1.51-1.55
H (0.0157, 0.6470, 0.3022) [6 per cell]  1 Ni 1.55
H (0.3333, 0.6667, 0.8961) [2 per cell]  1 Ni 1.51

* energy: -40.99 eV/cell
* DOS(E_F): 6.13 states/eV/cell

=====

# 8
This record from the Alexandria database describes an optimized crystal structure of BaNiHW2. The functional is PBE.

a b c (Å): 5.1276 5.1276 4.7841
angles (deg): 90.00 90.00 90.00
Closest atoms and distances in Å follow each position.
Space group P4/mmm (No. 123)
Inequivalent atoms, fractional coordinates:
Ba (0.0000, 0.0000, 0.0000) [1 per cell]  2 Ni 2.39, 4 W 2.56
Ni (0.0000, 0.0000, 0.5000) [1 per cell]  2 Ba 2.39
H (0.5000, 0.5000, 0.5000) [1 per cell]  8 W 3.51, 4 Ni 3.63
W (0.0000, 0.5000, 0.0000) [2 per cell]  2 Ba 2.56

* energy: -17.36 eV/cell
* DOS(E_F): 8.11 states/eV/cell